VASP calculation (PBE-GGA) on an optimized crystal structure of LiMn4W.

Cell and atoms, written as POSCAR:
```
LiMn4W
1.0
0.000 3.312 3.312
3.312 0.000 3.312
3.312 3.312 0.000
Li Mn W
1 4 1
direct
0.000 0.000 0.000 Li
0.374 0.374 0.374 Mn
0.374 0.374 0.877 Mn
0.374 0.877 0.374 Mn
0.877 0.374 0.374 Mn
0.750 0.750 0.750 W
```

Properties
Total moment = 1.7 Bohr magnetons per cell
E_tot = -50.7 eV/cell
Space-group type = No. 216
Energy of formation = 0.1437 eV/atom

***

VASP calculation (PBE-GGA) on an optimized crystal structure of LiMnW.

Cell and atoms, written as POSCAR:
```
LiMnW
1.0
-1.317 1.317 6.532
1.317 -1.317 6.532
1.317 1.317 -6.532
Li Mn W
1 1 1
direct
0.000 0.000 0.000 Li
0.668 0.668 0.000 Mn
0.322 0.322 0.000 W
```

Properties
ΔE to the lowest computed polymorph = 133.0 meV per atom
Total moment = 2.9 Bohr magnetons per cell
E_tot = -22.6 eV/cell
Space-group type = No. 107
Energy of formation = 0.4950 eV/atom

***

VASP calculation (PBE-GGA) on an optimized crystal structure of LiMnW.

Cell and atoms, written as POSCAR:
```
LiMnW
1.0
0.000 2.835 2.835
2.835 0.000 2.835
2.835 2.835 0.000
Li Mn W
1 1 1
direct
0.000 0.000 0.000 Li
0.250 0.250 0.250 Mn
0.500 0.500 0.500 W
```

Properties
ΔE to the lowest computed polymorph = 624.5 meV per atom
Total moment = 0.1 Bohr magnetons per cell
E_tot = -21.1 eV/cell
Space-group type = No. 216
Energy of formation = 0.9865 eV/atom

***

VASP calculation (PBE-GGA) on an optimized crystal structure of LiMn3W.

Cell and atoms, written as POSCAR:
```
LiMn3W
1.0
3.983 0.000 0.000
0.000 3.983 0.000
0.000 0.000 3.983
Li Mn W
1 3 1
direct
0.000 0.000 0.000 Li
0.000 0.000 0.500 Mn
0.000 0.500 0.000 Mn
0.500 0.000 0.000 Mn
0.500 0.500 0.500 W
```

Properties
ΔE to the lowest computed polymorph = 0.0 meV per atom
Total moment = 5.9 Bohr magnetons per cell
E_tot = -37.1 eV/cell
Space-group type = No. 221
Energy of formation = 1.0651 eV/atom

***

VASP calculation (PBE-GGA) on an optimized crystal structure of LiMnW.

Cell and atoms, written as POSCAR:
```
LiMnW
1.0
4.201 0.000 0.000
-2.101 3.638 0.000
0.000 0.000 2.548
Li Mn W
1 1 1
direct
0.000 0.000 0.000 Li
0.667 0.333 0.309 Mn
0.333 0.667 0.607 W
```

Properties
ΔE to the lowest computed polymorph = 0.0 meV per atom
Total moment = 0.0 Bohr magnetons per cell
E_tot = -23.0 eV/cell
Space-group type = No. 156
Energy of formation = 0.3620 eV/atom

***

VASP calculation (PBE-GGA) on an optimized crystal structure of LiMnW4.

Cell and atoms, written as POSCAR:
```
LiMnW4
1.0
0.000 3.720 3.720
3.720 0.000 3.720
3.720 3.720 0.000
Li Mn W
1 1 4
direct
0.000 0.000 0.000 Li
0.750 0.750 0.750 Mn
0.374 0.374 0.374 W
0.374 0.374 0.878 W
0.374 0.878 0.374 W
0.878 0.374 0.374 W
```

Properties
Total moment = 2.1 Bohr magnetons per cell
E_tot = -58.7 eV/cell
Space-group type = No. 216
Energy of formation = 0.6941 eV/atom

***

VASP calculation (PBE-GGA) on an optimized crystal structure of LiMnW.

Cell and atoms, written as POSCAR:
```
LiMnW
1.0
0.000 2.182 6.794
1.485 0.000 6.794
1.485 2.182 0.000
Li Mn W
1 1 1
direct
0.000 0.000 0.000 Li
0.333 0.333 0.667 Mn
0.682 0.682 0.318 W
```

Properties
ΔE to the lowest computed polymorph = 43.3 meV per atom
Total moment = 1.7 Bohr magnetons per cell
E_tot = -22.8 eV/cell
Space-group type = No. 42
Energy of formation = 0.4053 eV/atom

***

VASP calculation (PBE-GGA) on an optimized crystal structure of LiMn3W.

Cell and atoms, written as POSCAR:
```
LiMn3W
1.0
4.705 0.000 0.000
0.000 4.705 0.000
0.000 0.000 4.705
Li Mn W
1 3 1
direct
0.000 0.000 0.000 Li
0.000 0.500 0.500 Mn
0.500 0.000 0.500 Mn
0.500 0.500 0.000 Mn
0.500 0.500 0.500 W
```

Properties
ΔE to the lowest computed polymorph = 153.0 meV per atom
Total moment = 8.5 Bohr magnetons per cell
E_tot = -36.3 eV/cell
Space-group type = No. 221
Energy of formation = 1.2181 eV/atom

***

VASP calculation (PBE-GGA) on an optimized crystal structure of LiMnW.

Cell and atoms, written as POSCAR:
```
LiMnW
1.0
-1.253 2.086 3.755
1.253 -2.086 3.755
1.253 2.086 -3.755
Li Mn W
1 1 1
direct
0.000 0.000 0.000 Li
0.664 0.664 0.000 Mn
0.335 0.335 0.000 W
```

Properties
ΔE to the lowest computed polymorph = 92.2 meV per atom
Total moment = 0.0 Bohr magnetons per cell
E_tot = -22.7 eV/cell
Space-group type = No. 44
Energy of formation = 0.4542 eV/atom

***

VASP calculation (PBE-GGA) on an optimized crystal structure of Li3MnW.

Cell and atoms, written as POSCAR:
```
Li3MnW
1.0
4.059 0.000 0.000
0.000 4.059 0.000
0.000 0.000 4.059
Li Mn W
3 1 1
direct
0.000 0.000 0.500 Li
0.000 0.500 0.000 Li
0.500 0.000 0.000 Li
0.000 0.000 0.000 Mn
0.500 0.500 0.500 W
```

Properties
ΔE to the lowest computed polymorph = 0.0 meV per atom
Total moment = 0.0 Bohr magnetons per cell
E_tot = -19.1 eV/cell
Space-group type = No. 221
Energy of formation = 1.7468 eV/atom

***

VASP calculation (PBE-GGA) on an optimized crystal structure of LiMnZn2W.

Cell and atoms, written as POSCAR:
```
LiMnZn2W
1.0
4.452 0.000 0.000
0.000 4.452 0.000
0.000 0.000 3.919
Li Mn Zn W
1 1 2 1
direct
0.000 0.000 0.000 Li
0.000 0.000 0.500 Mn
0.000 0.500 0.500 Zn
0.500 0.000 0.500 Zn
0.500 0.500 0.000 W
```

Properties
Total moment = 0.9 Bohr magnetons per cell
E_tot = -19.0 eV/cell
Space-group type = No. 123
Energy of formation = 1.5095 eV/atom

***

VASP calculation (PBE-GGA) on an optimized crystal structure of LiY4Mn.

Cell and atoms, written as POSCAR:
```
LiY4Mn
1.0
0.000 4.522 4.522
4.522 0.000 4.522
4.522 4.522 0.000
Li Y Mn
1 4 1
direct
0.000 0.000 0.000 Li
0.376 0.376 0.376 Y
0.376 0.376 0.872 Y
0.376 0.872 0.376 Y
0.872 0.376 0.376 Y
0.750 0.750 0.750 Mn
```

Properties
Total moment = 4.2 Bohr magnetons per cell
E_tot = -33.0 eV/cell
Space-group type = No. 216
Energy of formation = 0.6491 eV/atom

***

- What is the energy of formation in the third record?
  0.9865 eV/atom